A plane-wave DFT calculation with GGA+U was carried out for a geometry-optimized MnTl3O6 structure.

Geometry as extended XYZ:
```
20
Lattice="4.679 2.701 3.792 -4.679 2.701 3.792 0.000 -5.403 3.792" Properties=species:S:1:pos:R:3 pbc="T T T"
Mn 0.000 0.000 0.000
Mn 0.000 0.000 5.688
Tl -3.257 -0.892 5.181
Tl -0.856 -3.267 6.195
Tl -2.401 2.375 6.195
Tl 2.401 -2.375 5.181
Tl 0.856 3.267 5.181
Tl 3.257 0.892 6.195
O -3.039 -2.885 6.249
O -4.018 1.189 5.128
O -1.055 -1.300 4.625
O 0.979 -4.074 5.128
O -1.653 0.263 6.751
O -0.598 1.563 4.625
O 0.598 -1.563 6.751
O 1.653 -0.263 4.625
O -0.979 4.074 6.249
O 1.055 1.300 6.751
O 4.018 -1.189 6.249
O 3.039 2.885 5.128
```

Calculated density = 8.82 g/cm³
Raw total energy = -5.30 eV per atom
Space group = No. 148